! PbS3O (PBE-GGA, optimized geometry); values from VASP
&SYSTEM
  ibrav = 0, nat = 5, ntyp = 3
/
ATOMIC_SPECIES
S 32.06 S.upf
Pb 207.20 Pb.upf
O 16.00 O.upf
ATOMIC_POSITIONS angstrom
S -0.035 0.932 -2.019
S -0.644 -1.938 -0.883
S -2.129 0.570 0.300
Pb -2.808 -0.435 -2.603
O 0.000 0.000 0.000
CELL_PARAMETERS angstrom
-0.070 1.864 -4.039
-1.287 -3.875 -1.766
-4.258 1.141 0.600
! - Electronic total energy: -0.2774 Ry/atom
! - Uncorrected formation energy: 0.436 eV per atom
! - Space-group type: No. 221